Sm2Zr2O7 GGA-PBEsol optimized geometry; D(E_F) = 0.000 states/eV per cell; uncorrected formation energy = -3.4822 eV per atom; ρ = 6.7 g cm⁻³
1.0
7.856 0.000 0.000
0.000 5.562 0.000
-2.013 0.000 13.516
Sm Zr O
8 8 28
Direct
0.138 0.000 0.062
0.236 0.437 0.424
0.285 0.910 0.630
0.357 0.429 0.894
0.643 0.929 0.106
0.715 0.410 0.370
0.764 0.937 0.576
0.862 0.500 0.938
0.028 0.427 0.619
0.074 0.933 0.819
0.412 0.442 0.174
0.469 0.928 0.375
0.531 0.428 0.625
0.588 0.942 0.826
0.926 0.433 0.181
0.972 0.927 0.381
0.004 0.089 0.675
0.065 0.709 0.521
0.080 0.217 0.914
0.136 0.631 0.730
0.144 0.713 0.934
0.172 0.313 0.183
0.223 0.030 0.388
0.272 0.312 0.587
0.324 0.058 0.799
0.369 0.770 0.121
0.416 0.241 0.049
0.422 0.584 0.326
0.448 0.705 0.523
0.477 0.636 0.735
0.523 0.136 0.265
0.552 0.205 0.477
0.578 0.084 0.674
0.584 0.741 0.951
0.631 0.270 0.879
0.676 0.558 0.201
0.728 0.812 0.413
0.777 0.530 0.612
0.828 0.813 0.817
0.856 0.213 0.066
0.864 0.131 0.270
0.920 0.717 0.086
0.935 0.209 0.479
0.996 0.589 0.325